No. 1
24
Lattice="13.6276 0.0000 0.0000 0.0000 5.9081 0.0000 0.0000 0.0000 5.0447" Properties=species:S:1:pos:R:3 comment="CsRh4O7, relaxed, DFT PBE" raw_formation_energy_mev_per_atom=-539 sg="Pmn2_1, No. 31" pbc="T T T"
Cs 0.0000 1.4592 0.0000
Cs 6.8138 4.4489 2.5223
Rh 1.3402 4.2850 2.7290
Rh 3.3948 1.2547 2.5791
Rh 3.4190 4.6534 0.0568
Rh 5.4736 1.6231 0.2067
Rh 8.1540 1.6231 0.2067
Rh 10.2086 4.6534 0.0568
Rh 10.2328 1.2547 2.5791
Rh 12.2874 4.2850 2.7290
O 0.0000 5.6551 2.4847
O 1.5948 4.3585 4.6393
O 2.0608 2.5196 2.3295
O 3.0020 5.3497 1.8892
O 3.8118 0.5584 4.4115
O 4.7530 3.3885 4.8519
O 5.2190 1.5496 2.1169
O 6.8138 0.2530 5.0070
O 8.4086 1.5496 2.1169
O 8.8746 3.3885 4.8519
O 9.8158 0.5584 4.4115
O 10.6256 5.3497 1.8892
O 11.5668 2.5196 2.3295
O 12.0328 4.3585 4.6393

***

No. 2
3
Lattice="2.9865 0.0000 0.0000 -1.4932 2.5863 0.0000 0.0000 0.0000 7.6341" Properties=species:S:1:pos:R:3 comment="YAlW, relaxed, DFT PBE" e_form_ev_per_atom=0.416 polymorph_energy_ev_per_fu=0.72 sg="P3m1, No. 156" pbc="T T T"
Y 0.0000 0.0000 0.0000
Al 1.4932 0.8621 2.7305
W 0.0000 1.7242 4.9135

***

No. 3
12
Lattice="3.8668 -6.7189 0.0000 3.8668 6.7189 0.0000 -2.5816 0.0000 7.3030" Properties=species:S:1:pos:R:3 comment="TePb3Se2, relaxed, DFT PBE" raw_formation_energy_mev_per_atom=-500 sg="C2/c, No. 15" pbc="T T T"
Te 1.9306 5.6684 5.4773
Te 3.2214 -5.6684 1.8258
Pb 0.6426 3.3595 3.6515
Pb 2.0520 1.1945 0.0043
Pb 0.7612 -1.1945 3.6558
Pb 1.9334 -3.3595 0.0000
Pb 4.3908 1.1945 3.6472
Pb 3.1000 -1.1945 7.2988
Se 3.2214 3.4374 1.8258
Se 1.9306 1.1400 5.4773
Se 3.2214 -1.1400 1.8258
Se 1.9306 -3.4374 5.4773

***

No. 4
16
Lattice="5.9255 -2.7586 0.0000 5.9255 2.7586 0.0000 -3.0455 0.0000 7.0586" Properties=species:S:1:pos:R:3 comment="Y2HfO5, relaxed, DFT PBE" raw_formation_energy_mev_per_atom=-3525 polymorph_energy_ev_per_fu=0.22 sg="C2/c, No. 15" pbc="T T T"
Y 0.8891 0.0309 1.7730
Y -0.6336 -0.0309 5.3024
Y 9.4392 0.0309 1.7563
Y 7.9165 -0.0309 5.2856
Hf 5.9255 0.0000 0.0000
Hf 4.4028 0.0000 3.5293
O 4.9106 1.7934 0.3041
O 2.7883 0.8390 2.5031
O 5.4177 1.7934 3.2253
O 3.6414 0.9712 5.2940
O 1.2656 -0.8390 6.0324
O 7.5400 0.8390 1.0262
O 5.1642 -0.9712 1.7647
O 3.3879 -1.7934 3.8334
O 6.0173 -0.8390 4.5556
O 3.8950 -1.7934 6.7546

***

No. 5
12
Lattice="7.9065 0.0000 0.0000 0.0000 5.8811 3.6668 0.0000 -5.8811 3.6668" Properties=species:S:1:pos:R:3 comment="K5ICl2O4, relaxed, DFT PBE" raw_formation_energy_mev_per_atom=-1402 sg="Amm2, No. 38" pbc="T T T"
K 0.0000 0.0000 0.0000
K 2.2252 -2.3502 2.6790
K 2.2252 2.3502 2.6790
K 5.6813 -2.3502 2.6790
K 5.6813 2.3502 2.6790
I 3.9533 0.0000 0.3494
Cl 0.0000 -2.0247 4.8900
Cl 0.0000 2.0247 4.8900
O 2.4182 0.0000 1.4324
O 3.9533 -3.9029 4.0763
O 3.9533 3.9029 4.0763
O 5.4884 0.0000 1.4324

***

No. 6
4
Lattice="3.9010 0.0000 0.0000 0.0000 3.8650 0.0000 -1.9220 0.0000 6.7571" Properties=species:S:1:pos:R:3 comment="GaBiPSe, relaxed, DFT PBE" raw_formation_energy_mev_per_atom=-98 polymorph_energy_ev_per_fu=0.58 sg="Pm, No. 6" pbc="T T T"
Ga 0.0000 0.0000 0.0000
Bi -0.3579 1.9325 2.8805
P 1.9611 0.0000 1.4652
Se 1.7697 1.9325 5.1640

***

No. 7
8
Lattice="4.5484 0.0000 0.0000 0.0000 4.5484 0.0000 0.0000 0.0000 4.5484" Properties=species:S:1:pos:R:3 comment="CrP, relaxed, DFT PBE" e_form_ev_per_atom=-0.447 sg="P2_13, No. 198" pbc="T T T"
Cr 0.5570 1.7172 2.8313
Cr 1.7172 2.8313 0.5570
Cr 2.8313 0.5570 1.7172
Cr 3.9914 3.9914 3.9914
P 0.4016 4.1468 1.8726
P 1.8726 0.4016 4.1468
P 2.6758 2.6758 2.6758
P 4.1468 1.8726 0.4016

***

No. 8
9
Lattice="5.0989 -2.1694 0.0000 5.0989 2.1694 0.0000 -0.7512 0.0000 9.1051" Properties=species:S:1:pos:R:3 comment="Sm3Mg2Pd4, relaxed, DFT PBE" e_form_ev_per_atom=-0.717 sg="C2/m, No. 12" pbc="T T T"
Sm 0.0000 0.0000 0.0000
Sm 3.3453 0.0000 5.6019
Sm 6.1012 0.0000 3.5032
Mg 3.1597 0.0000 1.9205
Mg 6.2868 0.0000 7.1845
Pd 0.3864 0.0000 5.7325
Pd 2.2856 0.0000 8.2976
Pd 7.1609 0.0000 0.8075
Pd 9.0601 0.0000 3.3726

***

No. 9
4
Lattice="3.8665 0.0000 0.0000 0.0000 3.8665 0.0000 0.0000 0.0000 3.8587" Properties=species:S:1:pos:R:3 comment="Ti2NiGe, relaxed, DFT PBE" e_form_ev_per_atom=-0.470 sg="P4/mmm, No. 123" pbc="T T T"
Ti 0.0000 1.9333 0.0000
Ti 1.9333 0.0000 0.0000
Ni 0.0000 0.0000 1.9294
Ge 1.9333 1.9333 1.9294

***

No. 10
6
Lattice="0.0000 3.7276 3.7276 3.7276 0.0000 3.7276 3.7276 3.7276 0.0000" Properties=species:S:1:pos:R:3 comment="ZnTeIr4, relaxed, DFT PBE" raw_formation_energy_mev_per_atom=501 sg="F-43m, No. 216" pbc="T T T"
Zn 0.0000 0.0000 0.0000
Te 1.8638 1.8638 1.8638
Ir 4.6623 2.7928 2.7928
Ir 2.7928 4.6623 2.7928
Ir 2.7928 2.7928 4.6623
Ir 4.6623 4.6623 4.6623

***

No. 11
4
Lattice="-1.5805 2.4053 4.5584 1.5805 -2.4053 4.5584 1.5805 2.4053 -4.5584" Properties=species:S:1:pos:R:3 comment="Mg2FeAg, relaxed, DFT PBE" e_form_ev_per_atom=0.222 sg="Immm, No. 71" pbc="T T T"
Mg 0.0000 0.0000 2.2473
Mg 0.0000 0.0000 6.8694
Fe 1.5805 0.0000 0.0000
Ag 0.0000 2.4053 0.0000

***

No. 12
7
Lattice="-1.7028 2.3984 11.5689 1.7028 -2.3984 11.5689 1.7028 2.3984 -11.5689" Properties=species:S:1:pos:R:3 comment="Na4Cd3, relaxed, DFT PBE" e_form_ev_per_atom=-0.067 sg="Immm, No. 71" pbc="T T T"
Na 0.0000 0.0000 1.6160
Na 0.0000 0.0000 4.8672
Na 0.0000 0.0000 18.2707
Na 0.0000 0.0000 21.5218
Cd 0.0000 0.0000 8.3712
Cd 0.0000 0.0000 11.5689
Cd 0.0000 0.0000 14.7666

***

No. 13
5
Lattice="4.8614 2.8067 3.1418 -4.8614 2.8067 3.1418 0.0000 -5.6134 3.1418" Properties=species:S:1:pos:R:3 comment="CsHg3Au, relaxed, DFT PBE" e_form_ev_per_atom=-0.055 polymorph_energy_ev_per_fu=0.85 sg="R3m, No. 160" pbc="T T T"
Cs 0.0000 0.0000 0.0000
Hg 0.0000 -1.9135 3.7892
Hg -1.6572 0.9568 3.7892
Hg 1.6572 0.9568 3.7892
Au 0.0000 0.0000 6.0034

***

No. 14
18
Lattice="5.5418 0.0000 0.0000 -2.7709 4.7994 0.0000 0.0000 0.0000 8.7932" Properties=species:S:1:pos:R:3 comment="PuTeRhO6, relaxed, DFT PBE" raw_formation_energy_mev_per_atom=-1386 sg="P-31c, No. 163" pbc="T T T"
Pu 0.0000 3.1996 2.1983
Pu 2.7709 1.5998 6.5949
Te 0.0000 3.1996 6.5949
Te 2.7709 1.5998 2.1983
Rh 0.0000 0.0000 0.0000
Rh 0.0000 0.0000 4.3966
O -0.8718 1.5706 1.0828
O -1.8466 3.2591 3.3138
O 0.8718 1.5706 3.3138
O -0.9748 4.7690 1.0828
O 1.7961 0.0303 5.4794
O 0.9243 1.5403 7.7103
O 1.8466 3.2591 1.0828
O 0.9748 4.7690 3.3138
O 3.7457 0.0303 7.7103
O 1.8991 3.2287 5.4794
O 4.6175 1.5403 5.4794
O 3.6427 3.2287 7.7103

***

No. 15
18
Lattice="5.4308 0.0000 0.0000 -2.7154 4.7032 0.0000 0.0000 0.0000 10.5301" Properties=species:S:1:pos:R:3 comment="AcZrTiO6, relaxed, DFT PBE" raw_formation_energy_mev_per_atom=-2994 sg="P-31c, No. 163" pbc="T T T"
Ac 0.0000 0.0000 0.0000
Ac 0.0000 0.0000 5.2651
Zr 0.0000 3.1355 2.6325
Zr 2.7154 1.5677 7.8976
Ti 0.0000 3.1355 7.8976
Ti 2.7154 1.5677 2.6325
O -0.9378 1.7949 6.7825
O -1.6299 2.9936 9.0127
O 0.9378 1.7949 9.0127
O -0.6921 4.6180 6.7825
O 2.0233 0.0853 1.5174
O 1.0855 1.7096 3.7476
O 1.6299 2.9936 6.7825
O 0.6921 4.6180 9.0127
O 3.4074 0.0853 3.7476
O 1.7776 2.9083 1.5174
O 4.3453 1.7096 1.5174
O 3.6532 2.9083 3.7476

***

No. 16
5
Lattice="3.7351 0.0000 0.0000 0.0000 3.7351 0.0000 0.0000 0.0000 4.8919" Properties=species:S:1:pos:R:3 comment="RePO2F, relaxed, DFT PBE" raw_formation_energy_mev_per_atom=-910 sg="P4/mmm, No. 123" pbc="T T T"
Re 0.0000 0.0000 0.0000
P 0.0000 0.0000 2.4459
O 0.0000 1.8676 0.0000
O 1.8676 0.0000 0.0000
F 1.8676 1.8676 2.4459

***

No. 17
5
Lattice="-2.0124 2.0124 4.9610 2.0124 -2.0124 4.9610 2.0124 2.0124 -4.9610" Properties=species:S:1:pos:R:3 comment="ErCuSi2Rh, relaxed, DFT PBE" raw_formation_energy_mev_per_atom=-802 sg="I-4m2, No. 119" pbc="T T T"
Er 0.0000 0.0000 0.0000
Cu 2.0124 0.0000 2.4805
Si 0.0000 0.0000 3.7870
Si 0.0000 0.0000 6.1350
Rh 0.0000 2.0124 2.4805

***

No. 18
16
Lattice="4.1174 2.3772 6.9195 -4.1174 2.3772 6.9195 0.0000 -4.7543 6.9195" Properties=species:S:1:pos:R:3 comment="TbNd4Dy3Se8, relaxed, DFT PBE" raw_formation_energy_mev_per_atom=-1797 sg="R-3m, No. 166" pbc="T T T"
Tb 0.0000 0.0000 0.0000
Nd -4.1174 0.0000 10.3793
Nd -2.0587 1.1886 3.4598
Nd 2.0587 1.1886 3.4598
Nd 0.0000 0.0000 10.3793
Dy -2.0587 -1.1886 6.9195
Dy -2.0587 1.1886 13.8391
Dy 0.0000 2.3772 6.9195
Se 0.0000 -2.3702 8.5487
Se -2.0526 1.1851 8.5487
Se 0.0000 0.0000 5.2951
Se -2.0526 -1.1851 12.2099
Se 2.0526 1.1851 8.5487
Se 0.0000 0.0000 15.4635
Se 2.0526 -1.1851 12.2099
Se 0.0000 2.3702 12.2099

***

No. 19
4
Lattice="2.9412 0.0000 0.0000 0.0000 2.9412 0.0000 0.0000 0.0000 7.1458" Properties=species:S:1:pos:R:3 comment="SiAgMo2, relaxed, DFT PBE" raw_formation_energy_mev_per_atom=181 sg="P4/mmm, No. 123" pbc="T T T"
Si 0.0000 0.0000 0.0000
Ag 0.0000 0.0000 3.5729
Mo 1.4706 1.4706 1.5128
Mo 1.4706 1.4706 5.6330

***

No. 20
20
Lattice="7.8112 0.0000 0.0000 0.0000 7.4049 0.0000 -7.1355 0.0000 8.3224" Properties=species:S:1:pos:R:3 comment="Zr6In3Bi, relaxed, DFT PBE" e_form_ev_per_atom=-0.066 sg="P2_1/c, No. 14" pbc="T T T"
Zr -1.8210 1.0999 2.5640
Zr -5.3887 2.6026 6.7252
Zr -2.8522 1.3664 5.8593
Zr 0.7156 2.3361 1.6981
Zr -2.9491 4.6360 7.1591
Zr 0.6187 6.4714 2.9979
Zr 0.0570 0.9335 5.3245
Zr 3.6248 2.7689 1.1633
Zr -0.0399 5.0688 6.6242
Zr 3.5279 6.0386 2.4631
Zr 6.0644 4.8023 1.5971
Zr 2.4967 6.3051 5.7583
In 0.0000 0.0000 0.0000
In -3.5678 3.7025 4.1612
In 1.5085 4.9040 0.4126
In -2.0592 6.2034 4.5738
In 2.7349 1.2015 3.7486
In -0.8328 2.5009 7.9097
Bi 3.9056 0.0000 0.0000
Bi 0.3379 3.7025 4.1612